Record 1
Entry from Alexandria via LeMat-Bulk: a relaxed Sm2Sn4PdRh3 crystal (PBE-GGA).

Calculated values
The density of states at the Fermi level is 7.30 states/eV/cell. For the calculated formation energy, the calculation gives -701 meV/atom. The density comes out at 9.10 g/cm³. For the total moment, the calculation gives 0.00 μB per formula unit.

The structure in CIF format:
```
data_Sm2Sn4PdRh3
_chemical_formula_sum 'Sm2 Sn4 Pd1 Rh3'
_cell_length_a 4.4584
_cell_length_b 4.4584
_cell_length_c 10.9309
_cell_angle_alpha 90.00
_cell_angle_beta 90.00
_cell_angle_gamma 90.00
_space_group_name_H-M_alt 'P -4 m 2'
_space_group_IT_number 115
loop_
_space_group_symop_operation_xyz
'x,y,z'
'y,-x,-z'
'-x,-y,z'
'-y,x,-z'
'-x,y,z'
'-y,-x,-z'
'x,-y,z'
'y,x,-z'
loop_
_atom_site_label
_atom_site_fract_x
_atom_site_fract_y
_atom_site_fract_z
Sm1 0.0000 0.5000 0.2455
Sn1 0.0000 0.0000 0.0000
Sn2 0.0000 0.5000 0.6326
Sn3 0.5000 0.5000 0.0000
Pd1 0.0000 0.0000 0.5000
Rh1 0.0000 0.5000 0.8674
Rh2 0.5000 0.5000 0.5000
```


Record 2
Entry from Alexandria via LeMat-Bulk: a relaxed SmTlPdRh crystal (PBE-GGA).

Calculated values
The density of states at the Fermi level is 12.68 states/eV/cell. For the calculated formation energy, the calculation gives -514 meV/atom. The density comes out at 11.62 g/cm³. For the total moment, the calculation gives 0.00 μB per formula unit.

The structure in CIF format:
```
data_SmTlPdRh
_chemical_formula_sum 'Sm4 Tl4 Pd4 Rh4'
_cell_length_a 6.8578
_cell_length_b 6.8578
_cell_length_c 6.8578
_cell_angle_alpha 90.00
_cell_angle_beta 90.00
_cell_angle_gamma 90.00
_space_group_name_H-M_alt 'F -4 3 m'
_space_group_IT_number 216
_space_group_name_Hall 'F -4 2 3'
loop_
_atom_site_label
_atom_site_fract_x
_atom_site_fract_y
_atom_site_fract_z
Sm1 0.0000 0.0000 0.0000
Tl1 0.0000 0.0000 0.5000
Pd1 0.2500 0.2500 0.2500
Rh1 0.2500 0.2500 0.7500
```